A relaxed structure of K2TlIn, computed with PBE.

Properties
Calculated formation energy: 0.0429 eV/atom
Calculated density: 4.3 g/cm3
Final energy: -1.7820 eV per atom
Offset from the most stable computed form: 0.56 eV/f.u.
SG: No. 139

a b c (Å): 6.462 6.462 6.462
angles (deg): 130.67 130.67 72.33
Fractional positions:
In 0.750 0.250 0.500
K 0.000 0.000 0.000
K 0.500 0.500 0.000
Tl 0.250 0.750 0.500

A relaxed structure of K3Tl5In6, computed with PBE.

Properties
Calculated formation energy: -0.0780 eV/atom
Calculated density: 6.7 g/cm3
Final energy: -2.3319 eV per atom
SG: No. 59

a b c (Å): 5.152 11.738 14.930
angles (deg): 90.00 90.00 90.00
Fractional positions:
K 0.000 0.251 0.696
K 0.500 0.749 0.196
K 0.500 0.749 0.804
K 0.000 0.249 0.000
K 0.500 0.751 0.500
K 0.000 0.251 0.304
Tl 0.000 0.523 0.848
Tl 0.000 0.885 0.670
Tl 0.000 0.741 0.000
Tl 0.500 0.477 0.652
Tl 0.500 0.259 0.500
Tl 0.000 0.523 0.152
Tl 0.500 0.477 0.348
Tl 0.000 0.885 0.330
Tl 0.500 0.115 0.830
Tl 0.500 0.115 0.170
In 0.000 0.973 0.869
In 0.500 0.027 0.631
In 0.500 0.378 0.847
In 0.500 0.556 0.000
In 0.000 0.444 0.500
In 0.000 0.622 0.653
In 0.000 0.622 0.347
In 0.500 0.939 0.000
In 0.000 0.973 0.131
In 0.500 0.378 0.153
In 0.000 0.061 0.500
In 0.500 0.027 0.369

A relaxed structure of KTlIn2, computed with PBE.

Properties
Calculated formation energy: 0.0424 eV/atom
Calculated density: 6.2 g/cm3
Final energy: -2.1928 eV per atom
Offset from the most stable computed form: 0.59 eV/f.u.
SG: No. 166

a b c (Å): 11.434 11.434 11.434
angles (deg): 18.13 18.13 18.13
Fractional positions:
In 0.006 0.006 0.006
In 0.494 0.494 0.494
K 0.250 0.250 0.250
Tl 0.750 0.750 0.750

A relaxed structure of K2TlIn, computed with PBE.

Properties
Calculated formation energy: 0.0444 eV/atom
Calculated density: 4.3 g/cm3
Final energy: -1.7806 eV per atom
Offset from the most stable computed form: 0.56 eV/f.u.
SG: No. 225

a b c (Å): 6.007 6.007 6.007
angles (deg): 60.00 60.00 60.00
Fractional positions:
Tl 0.500 0.500 0.500
K 0.250 0.250 0.250
K 0.750 0.750 0.750
In 0.000 0.000 0.000

A relaxed structure of K4Tl16In3, computed with PBE.

Properties
Calculated formation energy: -0.0278 eV/atom
Calculated density: 8.2 g/cm3
Final energy: -2.2220 eV per atom
SG: No. 123

a b c (Å): 7.601 7.601 13.235
angles (deg): 90.00 90.00 90.00
Fractional positions:
K 0.500 0.000 0.817
K 0.000 0.500 0.183
K 0.000 0.500 0.817
K 0.500 0.000 0.183
Tl 0.000 0.000 0.765
Tl 0.290 0.290 0.000
Tl 0.500 0.500 0.799
Tl 0.710 0.290 0.000
Tl 0.500 0.500 0.201
Tl 0.710 0.710 0.000
Tl 0.000 0.000 0.235
Tl 0.739 0.739 0.631
Tl 0.739 0.261 0.369
Tl 0.261 0.261 0.631
Tl 0.261 0.739 0.369
Tl 0.290 0.710 0.000
Tl 0.739 0.739 0.369
Tl 0.739 0.261 0.631
Tl 0.261 0.261 0.369
Tl 0.261 0.739 0.631
In 0.000 0.500 0.500
In 0.000 0.000 0.000
In 0.500 0.000 0.500

A relaxed structure of KTlIn, computed with PBE.

Properties
Calculated formation energy: -0.1231 eV/atom
Calculated density: 5.8 g/cm3
Final energy: -2.1905 eV per atom
Offset from the most stable computed form: 0.02 eV/f.u.
SG: No. 129

a b c (Å): 4.681 4.681 9.377
angles (deg): 90.00 90.00 90.00
Fractional positions:
K 0.750 0.750 0.350
K 0.250 0.250 0.650
Tl 0.250 0.250 0.238
Tl 0.750 0.750 0.762
In 0.250 0.750 0.000
In 0.750 0.250 0.000

A relaxed structure of KTl4In2, computed with PBE.

Properties
Calculated formation energy: -0.0255 eV/atom
Calculated density: 7.7 g/cm3
Final energy: -2.3169 eV per atom
Offset from the most stable computed form: 0.09 eV/f.u.
SG: No. 65

a b c (Å): 4.976 5.697 8.759
angles (deg): 108.98 90.00 90.00
Fractional positions:
K 0.000 0.000 0.000
Tl 0.500 0.825 0.649
Tl 0.000 0.697 0.394
Tl 0.500 0.175 0.351
Tl 0.000 0.303 0.606
In 0.500 0.589 0.178
In 0.500 0.411 0.822

A relaxed structure of KTlIn2, computed with PBE.

Properties
Calculated formation energy: -0.0451 eV/atom
Calculated density: 5.9 g/cm3
Final energy: -2.2802 eV per atom
Offset from the most stable computed form: 0.24 eV/f.u.
SG: No. 65

a b c (Å): 3.972 3.972 8.392
angles (deg): 90.00 90.00 90.12
Fractional positions:
Tl 0.500 0.500 0.750
K 0.500 0.500 0.250
In 0.000 0.000 0.949
In 0.000 0.000 0.551